TeHOsI2 | PBE | optimized geometry

Summary:
Total magnetic moment = 1.67 μB per formula unit
V = 32.51 Å³ per atom
E_tot = -3.21 eV/atom
D(E_F) = 2.97 states/eV/f.u.

Unit cell a=5.7184 b=5.7184 c=4.9707 alpha=90.00 beta=90.00 gamma=90.00
Fractional coordinates of all 5 atoms:
Te (0.0000, 0.0000, 0.0000)
H (0.5000, 0.5000, 0.0000)
Os (0.0000, 0.0000, 0.5000)
I (0.0000, 0.5000, 0.5000)
I (0.5000, 0.0000, 0.5000)

=====

VHOsI2 | PBE | optimized geometry

Summary:
Total magnetic moment = 2.11 μB per formula unit
V = 16.90 Å³ per atom
E_tot = -4.26 eV/atom
D(E_F) = 3.73 states/eV/f.u.

Unit cell a=4.9578 b=4.9578 c=3.4388 alpha=90.00 beta=90.00 gamma=90.00
Fractional coordinates of all 5 atoms:
V (0.0000, 0.0000, 0.0000)
H (0.0000, 0.0000, 0.5000)
Os (0.5000, 0.5000, 0.0000)
I (0.0000, 0.5000, 0.5000)
I (0.5000, 0.0000, 0.5000)

=====

PH4I | PBE | optimized geometry

Summary:
Total magnetic moment = 0.00 μB per formula unit
V = 16.42 Å³ per atom
E_tot = -3.19 eV/atom
D(E_F) = 0.26 states/eV/f.u.

Unit cell a=4.6933 b=4.6933 c=8.9670 alpha=92.66 beta=92.66 gamma=88.03
Fractional coordinates of all 12 atoms:
P (0.0000, 0.5000, 0.0000)
P (0.5000, 0.0000, 0.0000)
H (0.0626, 0.4293, 0.8306)
H (0.2472, 0.7528, 0.0000)
H (0.2549, 0.2549, 0.0365)
H (0.4293, 0.0626, 0.8306)
H (0.5707, 0.9374, 0.1694)
H (0.7451, 0.7451, 0.9635)
H (0.7528, 0.2472, 0.0000)
H (0.9374, 0.5707, 0.1694)
I (0.2686, 0.2686, 0.6432)
I (0.7314, 0.7314, 0.3568)